(1)
Entry from Alexandria: Tm5Ga2Te after structural relaxation (PBE).

D(E_F) = 31.8 states/eV per cell
formation energy from raw total energies = -630 meV/atom
M_tot = 0.000 μB/f.u.
excess energy over the best structure of this formula in the dataset = 0 meV/atom
DFT total energy = -36.59 eV/f.u.

The structure in CIF format:
```
data_Tm5Ga2Te
_chemical_formula_sum 'Tm20 Ga8 Te4'
_symmetry_space_group_name_H-M 'I 4/m c m'
_symmetry_Int_Tables_number 140
_symmetry_space_group_name_Hall '-I 4 2c'
_cell_length_a 8.028
_cell_length_b 8.028
_cell_length_c 12.554
_cell_angle_alpha 90.00
_cell_angle_beta 90.00
_cell_angle_gamma 90.00
loop_
_atom_site_label
_atom_site_type_symbol
_atom_site_fract_x
_atom_site_fract_y
_atom_site_fract_z
Tm1 Tm 0.000 0.000 0.000
Tm2 Tm 0.152 0.348 0.143
Ga1 Ga 0.150 0.350 0.500
Te1 Te 0.000 0.000 0.250
```

---

(2)
Entry from Alexandria: UGaTe3 after structural relaxation (PBE).

D(E_F) = 12.8 states/eV per cell
formation energy from raw total energies = -321 meV/atom
M_tot = 0.985 μB/f.u.
DFT total energy = -25.34 eV/f.u.

The structure in CIF format:
```
data_UGaTe3
_chemical_formula_sum 'U4 Ga4 Te12'
_symmetry_space_group_name_H-M 'P n m a'
_symmetry_Int_Tables_number 62
_symmetry_space_group_name_Hall '-P 2ac 2n'
_cell_length_a 8.129
_cell_length_b 11.113
_cell_length_c 7.597
_cell_angle_alpha 90.00
_cell_angle_beta 90.00
_cell_angle_gamma 90.00
loop_
_atom_site_label
_atom_site_type_symbol
_atom_site_fract_x
_atom_site_fract_y
_atom_site_fract_z
U1 U 0.000 0.000 0.000
Ga1 Ga 0.113 0.250 0.457
Te1 Te 0.026 0.750 0.139
Te2 Te 0.189 0.570 0.682
```

---

(3)
Entry from Alexandria: UGa2Te after structural relaxation (PBE).

D(E_F) = 6.2 states/eV per cell
formation energy from raw total energies = -241 meV/atom
M_tot = 1.798 μB/f.u.
DFT total energy = -21.45 eV/f.u.

The structure in CIF format:
```
data_UGa2Te
_chemical_formula_sum 'U1 Ga2 Te1'
_symmetry_space_group_name_H-M 'P 4/m m m'
_symmetry_Int_Tables_number 123
_symmetry_space_group_name_Hall '-P 4 2'
_cell_length_a 4.318
_cell_length_b 4.318
_cell_length_c 4.584
_cell_angle_alpha 90.00
_cell_angle_beta 90.00
_cell_angle_gamma 90.00
loop_
_atom_site_label
_atom_site_type_symbol
_atom_site_fract_x
_atom_site_fract_y
_atom_site_fract_z
U1 U 0.000 0.000 0.000
Ga1 Ga 0.000 0.500 0.500
Te1 Te 0.500 0.500 0.000
```

---

(4)
Entry from Alexandria: UGaTe2 after structural relaxation (PBE).

D(E_F) = 6.5 states/eV per cell
formation energy from raw total energies = -389 meV/atom
M_tot = 2.731 μB/f.u.
DFT total energy = -22.16 eV/f.u.

The structure in CIF format:
```
data_UGaTe2
_chemical_formula_sum 'U1 Ga1 Te2'
_symmetry_space_group_name_H-M 'P 4/m m m'
_symmetry_Int_Tables_number 123
_symmetry_space_group_name_Hall '-P 4 2'
_cell_length_a 3.843
_cell_length_b 3.843
_cell_length_c 7.219
_cell_angle_alpha 90.00
_cell_angle_beta 90.00
_cell_angle_gamma 90.00
loop_
_atom_site_label
_atom_site_type_symbol
_atom_site_fract_x
_atom_site_fract_y
_atom_site_fract_z
U1 U 0.000 0.000 0.000
Ga1 Ga 0.000 0.000 0.500
Te1 Te 0.500 0.500 0.237
```

---

(5)
Entry from Alexandria: UGaTe4 after structural relaxation (PBE).

D(E_F) = 14.5 states/eV per cell
formation energy from raw total energies = -309 meV/atom
M_tot = 1.067 μB/f.u.
DFT total energy = -28.74 eV/f.u.

The structure in CIF format:
```
data_UGaTe4
_chemical_formula_sum 'U2 Ga2 Te8'
_symmetry_space_group_name_H-M 'P 1 21/m 1'
_symmetry_Int_Tables_number 11
_symmetry_space_group_name_Hall '-P 2yb'
_cell_length_a 6.209
_cell_length_b 9.645
_cell_length_c 7.636
_cell_angle_alpha 90.00
_cell_angle_beta 112.42
_cell_angle_gamma 90.00
loop_
_atom_site_label
_atom_site_type_symbol
_atom_site_fract_x
_atom_site_fract_y
_atom_site_fract_z
U1 U 0.093 0.250 0.148
Ga1 Ga 0.352 0.750 0.481
Te1 Te 0.098 0.566 0.215
Te2 Te 0.246 0.250 0.560
Te3 Te 0.412 0.750 0.845
```

---

(6)
Entry from Alexandria: UGaTe2 after structural relaxation (PBE).

D(E_F) = 10.3 states/eV per cell
formation energy from raw total energies = -384 meV/atom
M_tot = 2.998 μB/f.u.
DFT total energy = -22.14 eV/f.u.

The structure in CIF format:
```
data_UGaTe2
_chemical_formula_sum 'U3 Ga3 Te6'
_symmetry_space_group_name_H-M 'R 3 m'
_symmetry_Int_Tables_number 160
_symmetry_space_group_name_Hall 'R 3 -2"'
_cell_length_a 4.2035
_cell_length_b 4.2035
_cell_length_c 24.7472
_cell_angle_alpha 90.00
_cell_angle_beta 90.00
_cell_angle_gamma 120.00
loop_
_atom_site_label
_atom_site_type_symbol
_atom_site_fract_x
_atom_site_fract_y
_atom_site_fract_z
U1 U 0.0000 0.0000 0.0000
Ga1 Ga 0.0000 0.0000 0.1683
Te1 Te 0.0000 0.0000 0.4117
Te2 Te 0.0000 0.0000 0.5881
```

---

(7)
Entry from Alexandria: U3Ga5Te12 after structural relaxation (PBE).

D(E_F) = 213.0 states/eV per cell
formation energy from raw total energies = -369 meV/atom
M_tot = 7.568 μB/f.u.
DFT total energy = -94.07 eV/f.u.

The structure in CIF format:
```
data_U3Ga5Te12
_chemical_formula_sum 'U24 Ga40 Te96'
_symmetry_space_group_name_H-M 'I a -3 d'
_symmetry_Int_Tables_number 230
_symmetry_space_group_name_Hall '-I 4bd 2c 3'
_cell_length_a 17.239
_cell_length_b 17.239
_cell_length_c 17.239
_cell_angle_alpha 90.00
_cell_angle_beta 90.00
_cell_angle_gamma 90.00
loop_
_atom_site_label
_atom_site_type_symbol
_atom_site_fract_x
_atom_site_fract_y
_atom_site_fract_z
U1 U 0.000 0.250 0.125
Ga1 Ga 0.000 0.000 0.000
Ga2 Ga 0.000 0.250 0.375
Te1 Te 0.023 0.065 0.653
```

---

(8)
Entry from Alexandria: VGa3Te after structural relaxation (PBE).

D(E_F) = 6.2 states/eV per cell
formation energy from raw total energies = 444 meV/atom
M_tot = 4.127 μB/f.u.
excess energy over the best structure of this formula in the dataset = 0 meV/atom
DFT total energy = -19.12 eV/f.u.

The structure in CIF format:
```
data_VGa3Te
_chemical_formula_sum 'V1 Ga3 Te1'
_symmetry_space_group_name_H-M 'P m -3 m'
_symmetry_Int_Tables_number 221
_symmetry_space_group_name_Hall '-P 4 2 3'
_cell_length_a 5.047
_cell_length_b 5.047
_cell_length_c 5.047
_cell_angle_alpha 90.00
_cell_angle_beta 90.00
_cell_angle_gamma 90.00
loop_
_atom_site_label
_atom_site_type_symbol
_atom_site_fract_x
_atom_site_fract_y
_atom_site_fract_z
V1 V 0.000 0.000 0.000
Ga1 Ga 0.000 0.000 0.500
Te1 Te 0.500 0.500 0.500
```

---

Question: D(E_F) of number 4 (UGaTe2)?
Answer: 6.5 states/eV per cell